Compound: BaTiAlZn2
Source: Alexandria via LeMat-Bulk
Functional: PBE-GGA
Structure: relaxed

For the magnetic moment, the calculation gives 2.62 μB/cell. The value obtained for the density of states at the Fermi level is 5.42 states/eV/f.u. The value obtained for the formation energy is 4.1 eV/f.u.

a b c (Å): 5.134 5.134 5.765
angles (deg): 90.00 90.00 90.00
Fractional positions:
1 Ba 0.000 0.000 0.000
2 Ti 0.000 0.000 0.500
3 Al 0.500 0.500 0.000
4 Zn 0.000 0.500 0.500
5 Zn 0.500 0.000 0.500

***

Compound: RbYCd3
Source: Alexandria via LeMat-Bulk
Functional: PBE-GGA
Structure: relaxed

For the magnetic moment, the calculation gives 0.00 μB/cell. The value obtained for the density of states at the Fermi level is 3.83 states/eV/f.u. The value obtained for the formation energy is 1.4 eV/f.u.

a b c (Å): 6.035 6.035 6.035
angles (deg): 90.00 90.00 90.00
Fractional positions:
1 Rb 0.000 0.000 0.000
2 Y 0.500 0.500 0.500
3 Cd 0.000 0.500 0.500
4 Cd 0.500 0.000 0.500
5 Cd 0.500 0.500 0.000

***

Compound: Er2ThIn
Source: Alexandria via LeMat-Bulk
Functional: PBE-GGA
Structure: relaxed

For the magnetic moment, the calculation gives 0.00 μB/cell. The value obtained for the density of states at the Fermi level is 3.49 states/eV/f.u. The value obtained for the formation energy is -1.0 eV/f.u.

a b c (Å): 3.558 3.558 9.032
angles (deg): 90.00 90.00 90.00
Fractional positions:
1 Er 0.000 0.000 0.232
2 Er 0.000 0.000 0.768
3 Th 0.500 0.500 0.500
4 In 0.500 0.500 0.000

***

Compound: Pm3TmCd
Source: Alexandria via LeMat-Bulk
Functional: PBE-GGA
Structure: relaxed

For the magnetic moment, the calculation gives 0.00 μB/cell. The value obtained for the density of states at the Fermi level is 5.36 states/eV/f.u. The value obtained for the formation energy is 0.3 eV/f.u.

a b c (Å): 3.655 12.011 7.523
angles (deg): 90.00 103.97 90.00
Fractional positions:
1 Pm 0.000 0.000 0.000
2 Pm 0.102 0.500 0.185
3 Pm 0.335 0.154 0.666
4 Pm 0.335 0.846 0.666
5 Pm 0.653 0.276 0.299
6 Pm 0.653 0.724 0.299
7 Tm 0.340 0.500 0.676
8 Tm 0.691 0.000 0.379
9 Cd 0.951 0.314 0.901
10 Cd 0.951 0.686 0.901

***

Compound: BeHSCl2
Source: Alexandria via LeMat-Bulk
Functional: PBE-GGA
Structure: relaxed

For the magnetic moment, the calculation gives 2.50 μB/cell. Its final energy is -13.04 eV/cell. The value obtained for the density of states at the Fermi level is 4.39 states/eV/f.u.

a b c (Å): 4.635 4.635 4.274
angles (deg): 90.00 90.00 90.00
Fractional positions:
1 Be 0.000 0.000 0.000
2 H 0.500 0.500 0.500
3 S 0.000 0.000 0.500
4 Cl 0.000 0.500 0.000
5 Cl 0.500 0.000 0.000

***

Compound: KNaMnH4
Source: Alexandria via LeMat-Bulk
Functional: PBE-GGA
Structure: relaxed

For the magnetic moment, the calculation gives 5.00 μB/cell. Its final energy is -24.50 eV/cell. The value obtained for the density of states at the Fermi level is 0.00 states/eV/f.u.

a b c (Å): 6.088 6.088 6.088
angles (deg): 60.00 60.00 60.00
Fractional positions:
1 K 0.000 0.000 0.000
2 Na 0.250 0.250 0.250
3 Mn 0.500 0.500 0.500
4 H 0.385 0.385 0.385
5 H 0.385 0.385 0.845
6 H 0.385 0.845 0.385
7 H 0.845 0.385 0.385

***

Compound: Sc5Al
Source: Alexandria via LeMat-Bulk
Functional: PBE-GGA
Structure: relaxed

For the magnetic moment, the calculation gives 0.01 μB/cell. The value obtained for the density of states at the Fermi level is 8.56 states/eV/f.u. The value obtained for the formation energy is -0.9 eV/f.u.

a b c (Å): 4.451 13.698 4.452
angles (deg): 90.00 90.00 90.00
Fractional positions:
1 Sc 0.000 0.000 0.000
2 Sc 0.000 0.159 0.500
3 Sc 0.000 0.333 0.000
4 Sc 0.000 0.667 0.000
5 Sc 0.000 0.841 0.500
6 Sc 0.500 0.167 0.000
7 Sc 0.500 0.341 0.500
8 Sc 0.500 0.500 0.000
9 Sc 0.500 0.659 0.500
10 Sc 0.500 0.833 0.000
11 Al 0.000 0.500 0.500
12 Al 0.500 0.000 0.500